## TaPb3 (PBE-GGA)

Data for TaPb3 after structural relaxation.

Unit cell a=3.189 b=3.189 c=10.642 alpha=90.00 beta=90.00 gamma=90.00
Space group P4/mmm (No. 123)
Asymmetric unit:
Ta1 0.000 0.000 0.000 x1
Pb1 0.000 0.000 0.500 x1
Pb2 0.500 0.500 0.210 x2

* DFT total energy: -21.3 eV per cell
* calculated formation energy: 0.430 eV/atom
* total magnetic moment: 0.000 μB/atom